# CdInPt14

A relaxed CdInPt14 crystal (PBE, the Alexandria database).

Properties
- calculated volume (Å³ per atom) = 16.1
- VASP energy (eV/atom) = -5.604
- calculated formation energy (eV per atom) = -0.09
- total magnetization (μB per atom) = 0.000

Structure (CIF):
```
data_CdInPt14
_chemical_formula_sum 'Cd2 In2 Pt28'
_cell_length_a 9.3792
_cell_length_b 5.6747
_cell_length_c 9.7025
_cell_angle_alpha 90.00
_cell_angle_beta 90.00
_cell_angle_gamma 90.00
_space_group_name_H-M_alt 'A m m 2'
_space_group_IT_number 38
_space_group_name_Hall 'A 2 -2'
loop_
_atom_site_label
_atom_site_type_symbol
_atom_site_fract_x
_atom_site_fract_y
_atom_site_fract_z
Cd1 Cd 0.0000 0.0000 0.0000
In1 In 0.0000 0.0000 0.5007
Pt1 Pt 0.0000 0.2500 0.2497
Pt2 Pt 0.2497 0.0000 0.3290
Pt3 Pt 0.2507 0.0000 0.8291
Pt4 Pt 0.2515 0.2503 0.0800
Pt5 Pt 0.5000 0.0000 0.1616
Pt6 Pt 0.5000 0.0000 0.6617
Pt7 Pt 0.5000 0.2498 0.4108
```

# CdIn5Pt6

A relaxed CdIn5Pt6 crystal (PBE, the Alexandria database).

Properties
- calculated volume (Å³ per atom) = 18.1
- VASP energy (eV/atom) = -4.615
- calculated formation energy (eV per atom) = -0.38
- total magnetization (μB per atom) = 0.000

Structure (CIF):
```
data_CdIn5Pt6
_chemical_formula_sum 'Cd2 In10 Pt12'
_cell_length_a 7.7136
_cell_length_b 14.8665
_cell_length_c 4.9036
_cell_angle_alpha 90.00
_cell_angle_beta 129.34
_cell_angle_gamma 90.00
_space_group_name_H-M_alt 'C 1 2/m 1'
_space_group_IT_number 12
_space_group_name_Hall '-C 2y'
loop_
_atom_site_label
_atom_site_type_symbol
_atom_site_fract_x
_atom_site_fract_y
_atom_site_fract_z
Cd1 Cd 0.0000 0.0000 0.0000
In1 In 0.0000 0.1618 0.5000
In2 In 0.0000 0.3345 0.0000
In3 In 0.0000 0.5000 0.5000
Pt1 Pt 0.2451 0.5000 0.2448
Pt2 Pt 0.2480 0.3286 0.7479
```

# CdInPt2

A relaxed CdInPt2 crystal (PBE, the Alexandria database).

Properties
- calculated volume (Å³ per atom) = 19.7
- VASP energy (eV/atom) = -4.035
- calculated formation energy (eV per atom) = -0.10
- total magnetization (μB per atom) = 0.000

Structure (CIF):
```
data_CdInPt2
_chemical_formula_sum 'Cd4 In4 Pt8'
_cell_length_a 7.4010
_cell_length_b 7.4010
_cell_length_c 5.7450
_cell_angle_alpha 90.00
_cell_angle_beta 90.00
_cell_angle_gamma 90.00
_space_group_name_H-M_alt 'I -4 2 d'
_space_group_IT_number 122
_space_group_name_Hall 'I -4 2bw'
loop_
_atom_site_label
_atom_site_type_symbol
_atom_site_fract_x
_atom_site_fract_y
_atom_site_fract_z
Cd1 Cd 0.0000 0.0000 0.0000
In1 In 0.0000 0.0000 0.5000
Pt1 Pt 0.2430 0.7500 0.6250
```

# CdInPt2

A relaxed CdInPt2 crystal (PBE, the Alexandria database).

Properties
- calculated volume (Å³ per atom) = 17.8
- VASP energy (eV/atom) = -4.293
- calculated formation energy (eV per atom) = -0.36
- total magnetization (μB per atom) = 0.000

Structure (CIF):
```
data_CdInPt2
_chemical_formula_sum 'Cd1 In1 Pt2'
_cell_length_a 3.0089
_cell_length_b 3.0089
_cell_length_c 7.8590
_cell_angle_alpha 90.00
_cell_angle_beta 90.00
_cell_angle_gamma 90.00
_space_group_name_H-M_alt 'P 4/m m m'
_space_group_IT_number 123
_space_group_name_Hall '-P 4 2'
loop_
_atom_site_label
_atom_site_type_symbol
_atom_site_fract_x
_atom_site_fract_y
_atom_site_fract_z
Cd1 Cd 0.0000 0.0000 0.0000
In1 In 0.0000 0.0000 0.5000
Pt1 Pt 0.5000 0.5000 0.2576
```

# CdIn2Pt

A relaxed CdIn2Pt crystal (PBE, the Alexandria database).

Properties
- calculated volume (Å³ per atom) = 20.7
- VASP energy (eV/atom) = -3.193
- calculated formation energy (eV per atom) = -0.08
- total magnetization (μB per atom) = 0.000

Structure (CIF):
```
data_CdIn2Pt
_chemical_formula_sum 'Cd2 In4 Pt2'
_cell_length_a 4.5184
_cell_length_b 4.5184
_cell_length_c 8.1169
_cell_angle_alpha 90.00
_cell_angle_beta 90.00
_cell_angle_gamma 90.00
_space_group_name_H-M_alt 'I 4/m m m'
_space_group_IT_number 139
_space_group_name_Hall '-I 4 2'
loop_
_atom_site_label
_atom_site_type_symbol
_atom_site_fract_x
_atom_site_fract_y
_atom_site_fract_z
Cd1 Cd 0.0000 0.0000 0.0000
In1 In 0.0000 0.5000 0.2500
Pt1 Pt 0.0000 0.0000 0.5000
```

# CdInPt2

A relaxed CdInPt2 crystal (PBE, the Alexandria database).

Properties
- calculated volume (Å³ per atom) = 17.7
- VASP energy (eV/atom) = -4.309
- calculated formation energy (eV per atom) = -0.38
- total magnetization (μB per atom) = 0.000

Structure (CIF):
```
data_CdInPt2
_chemical_formula_sum 'Cd1 In1 Pt2'
_cell_length_a 4.2554
_cell_length_b 4.2554
_cell_length_c 3.9183
_cell_angle_alpha 90.00
_cell_angle_beta 90.00
_cell_angle_gamma 90.00
_space_group_name_H-M_alt 'P 4/m m m'
_space_group_IT_number 123
_space_group_name_Hall '-P 4 2'
loop_
_atom_site_label
_atom_site_type_symbol
_atom_site_fract_x
_atom_site_fract_y
_atom_site_fract_z
Cd1 Cd 0.0000 0.0000 0.0000
In1 In 0.5000 0.5000 0.0000
Pt1 Pt 0.0000 0.5000 0.5000
```

# CdInPt2

A relaxed CdInPt2 crystal (PBE, the Alexandria database).

Properties
- calculated volume (Å³ per atom) = 18.4
- VASP energy (eV/atom) = -4.160
- calculated formation energy (eV per atom) = -0.23
- total magnetization (μB per atom) = 0.000

Structure (CIF):
```
data_CdInPt2
_chemical_formula_sum 'Cd3 In3 Pt6'
_cell_length_a 3.1247
_cell_length_b 3.1247
_cell_length_c 26.1057
_cell_angle_alpha 90.00
_cell_angle_beta 90.00
_cell_angle_gamma 120.00
_space_group_name_H-M_alt 'R -3 m'
_space_group_IT_number 166
_space_group_name_Hall '-R 3 2"'
loop_
_atom_site_label
_atom_site_type_symbol
_atom_site_fract_x
_atom_site_fract_y
_atom_site_fract_z
Cd1 Cd 0.0000 0.0000 0.0000
In1 In 0.0000 0.0000 0.5000
Pt1 Pt 0.0000 0.0000 0.2478
```

# Cd2InPt

A relaxed Cd2InPt crystal (PBE, the Alexandria database).

Properties
- calculated volume (Å³ per atom) = 20.4
- VASP energy (eV/atom) = -2.735
- calculated formation energy (eV per atom) = -0.08
- total magnetization (μB per atom) = 0.000

Structure (CIF):
```
data_Cd2InPt
_chemical_formula_sum 'Cd4 In2 Pt2'
_cell_length_a 5.7061
_cell_length_b 10.7578
_cell_length_c 3.0663
_cell_angle_alpha 90.00
_cell_angle_beta 119.88
_cell_angle_gamma 90.00
_space_group_name_H-M_alt 'C 1 2/m 1'
_space_group_IT_number 12
_space_group_name_Hall '-C 2y'
loop_
_atom_site_label
_atom_site_type_symbol
_atom_site_fract_x
_atom_site_fract_y
_atom_site_fract_z
Cd1 Cd 0.2500 0.2500 0.0000
In1 In 0.0000 0.0000 0.0000
Pt1 Pt 0.0000 0.5000 0.0000
```